(1)
A plane-wave DFT calculation with PBE was carried out for crystalline Ba2SbRu at its relaxed geometry.

a = 3.6722 Å, b = 3.6722 Å, c = 9.9085 Å
α = 90.00°, β = 90.00°, γ = 90.00°
Closest atoms and distances in Å follow each position.
Element x y z (fractional)
Ba  0.0000  0.0000  0.0000  1 Ru 3.48, 4 Sb 3.58, 4 Ba 3.67
Ba  0.5000  0.5000  0.4095  1 Sb 3.38, 4 Ru 3.52, 4 Ba 3.67
Sb  0.5000  0.5000  0.7510  4 Ru 2.79
Ru  0.0000  0.0000  0.6488  4 Sb 2.79

Summary:
ΔE_f (raw) = -0.0114 eV/atom

***

(2)
A plane-wave DFT calculation with PBE was carried out for crystalline SiSb2Se at its relaxed geometry.

a = 7.1269 Å, b = 7.1269 Å, c = 7.1269 Å
α = 90.00°, β = 90.00°, γ = 90.00°
Closest atoms and distances in Å follow each position.
Element x y z (fractional)
Si  0.0000  0.0000  0.0000  8 Sb 3.09
Si  0.0000  0.5000  0.5000  8 Sb 3.09
Si  0.5000  0.0000  0.5000  8 Sb 3.09
Si  0.5000  0.5000  0.0000  8 Sb 3.09
Sb  0.2500  0.2500  0.2500  4 Se 3.09, 4 Si 3.09
Sb  0.2500  0.2500  0.7500  4 Se 3.09, 4 Si 3.09
Sb  0.2500  0.7500  0.2500  4 Se 3.09, 4 Si 3.09
Sb  0.2500  0.7500  0.7500  4 Se 3.09, 4 Si 3.09
Sb  0.7500  0.2500  0.2500  4 Se 3.09, 4 Si 3.09
Sb  0.7500  0.2500  0.7500  4 Se 3.09, 4 Si 3.09
Sb  0.7500  0.7500  0.2500  4 Se 3.09, 4 Si 3.09
Sb  0.7500  0.7500  0.7500  4 Se 3.09, 4 Si 3.09
Se  0.0000  0.0000  0.5000  8 Sb 3.09
Se  0.0000  0.5000  0.0000  8 Sb 3.09
Se  0.5000  0.0000  0.0000  8 Sb 3.09
Se  0.5000  0.5000  0.5000  8 Sb 3.09

Summary:
Distance to the lowest polymorph of the same formula = 1.19 eV/f.u.
ΔE_f (raw) = 0.3793 eV/atom

***

(3)
A plane-wave DFT calculation with PBE was carried out for crystalline Al2CdCo at its relaxed geometry.

a = 8.9994 Å, b = 3.3508 Å, c = 4.4175 Å
α = 90.00°, β = 111.25°, γ = 90.00°
Closest atoms and distances in Å follow each position.
Element x y z (fractional)
Al  0.0000  0.0000  0.0000  3 Co 2.47-2.75, 2 Cd 2.72
Al  0.2286  0.0000  0.6978  2 Co 2.47, 1 Cd 2.68
Al  0.5000  0.5000  0.0000  3 Co 2.47-2.75, 2 Cd 2.72
Al  0.7286  0.5000  0.6978  2 Co 2.47, 1 Cd 2.68
Cd  0.4602  0.0000  0.4509  7 Al 2.68-2.86, 3 Co 2.76-2.94
Cd  0.9602  0.5000  0.4509  7 Al 2.68-2.86, 3 Co 2.76-2.94
Co  0.2144  0.5000  0.0959  5 Al 2.47-2.75
Co  0.7144  0.0000  0.0959  5 Al 2.47-2.75

Summary:
Energy of formation from the pure elements = 0 kJ/mol of atoms

***

(4)
A plane-wave DFT calculation with PBE was carried out for crystalline NdTmCu4 at its relaxed geometry.

a = 4.3081 Å, b = 6.9210 Å, c = 7.3814 Å
α = 90.00°, β = 90.00°, γ = 90.00°
Closest atoms and distances in Å follow each position.
Element x y z (fractional)
Nd  0.0000  0.0000  0.0000  12 Cu 2.97-3.14
Nd  0.5000  0.5000  0.5000  12 Cu 2.97-3.14
Tm  0.0000  0.5000  0.9144  12 Cu 2.95-3.13
Tm  0.5000  0.0000  0.4144  12 Cu 2.95-3.13
Cu  0.0000  0.1942  0.6167  4 Cu 2.50-2.69
Cu  0.0000  0.2992  0.2877  4 Cu 2.50-2.78
Cu  0.0000  0.7008  0.2877  4 Cu 2.50-2.78
Cu  0.0000  0.8058  0.6167  4 Cu 2.50-2.69
Cu  0.5000  0.2008  0.7877  4 Cu 2.50-2.78
Cu  0.5000  0.3058  0.1167  4 Cu 2.50-2.69
Cu  0.5000  0.6942  0.1167  4 Cu 2.50-2.69
Cu  0.5000  0.7992  0.7877  4 Cu 2.50-2.78

Summary:
Energy of formation from the pure elements = -23 kJ/mol of atoms
Distance to the lowest polymorph of the same formula = 0.00 eV/f.u.

***

(5)
A plane-wave DFT calculation with PBE was carried out for crystalline Fe5Si at its relaxed geometry.

a = 8.8413 Å, b = 2.8768 Å, c = 5.6018 Å
α = 90.00°, β = 108.40°, γ = 90.00°
Closest atoms and distances in Å follow each position.
Element x y z (fractional)
Fe  0.0000  0.0000  0.0000  8 Fe 2.46
Fe  0.1676  0.5000  0.3354  6 Fe 2.43-2.46, 2 Si 2.44
Fe  0.1684  0.5000  0.8336  6 Fe 2.44-2.46, 2 Si 2.45
Fe  0.3316  0.0000  0.1664  6 Fe 2.44-2.46, 2 Si 2.45
Fe  0.3324  0.0000  0.6646  6 Fe 2.43-2.46, 2 Si 2.44
Fe  0.5000  0.5000  0.0000  8 Fe 2.46
Fe  0.6676  0.0000  0.3354  6 Fe 2.43-2.46, 2 Si 2.44
Fe  0.6684  0.0000  0.8336  6 Fe 2.44-2.46, 2 Si 2.45
Fe  0.8316  0.5000  0.1664  6 Fe 2.44-2.46, 2 Si 2.45
Fe  0.8324  0.5000  0.6646  6 Fe 2.43-2.46, 2 Si 2.44
Si  0.0000  0.0000  0.5000  8 Fe 2.44-2.45
Si  0.5000  0.5000  0.5000  8 Fe 2.44-2.45

Summary:
Distance to the lowest polymorph of the same formula = 0.24 eV/f.u.
ΔE_f (raw) = -0.1644 eV/atom

***

(6)
A plane-wave DFT calculation with PBE was carried out for crystalline PaS2O2 at its relaxed geometry.

a = 6.3699 Å, b = 4.0138 Å, c = 7.0838 Å
α = 90.00°, β = 111.98°, γ = 90.00°
Closest atoms and distances in Å follow each position.
Element x y z (fractional)
Pa  0.0000  0.0000  0.0000  6 O 2.17-2.37
Pa  0.5000  0.5000  0.0000  6 O 2.17-2.37
S  0.2331  0.0000  0.4433  2 S 2.14
S  0.2669  0.5000  0.5567  2 S 2.14
S  0.7331  0.5000  0.4433  2 S 2.14
S  0.7669  0.0000  0.5567  2 S 2.14
O  0.2113  0.5000  0.0923  3 Pa 2.17-2.37
O  0.2887  0.0000  0.9077  3 Pa 2.17-2.37
O  0.7113  0.0000  0.0923  3 Pa 2.17-2.37
O  0.7887  0.5000  0.9077  3 Pa 2.17-2.37

Summary:
ΔE_f (raw) = -1.9885 eV/atom